The following is a GGA-PBEsol calculation of crystalline KSeCl2 at its relaxed geometry, from the Alexandria database.

Output
The energy above the most stable polymorph in this dataset is 0 meV per atom. The raw total energy is -3.0819 eV/atom. As for the symmetry: C2/m. The magnetization is 0.000 μB per atom. The uncorrected formation energy comes out at -0.832 eV/atom.

Geometry as extended XYZ:
```
4
Lattice="3.794 -2.791 0.000 3.794 2.791 0.000 -2.307 0.000 4.861" Properties=species:S:1:pos:R:3 pbc="T T T"
K 0.000 0.000 0.000
Se 2.640 0.000 2.431
Cl 0.483 0.000 3.419
Cl 4.798 0.000 1.442
```